No. 1
{"formula": "Er3Tm2Th4", "functional": "PBE", "state": "optimized geometry", "lattice": [[-2.482, -4.337, 0.349], [4.298, -1.950, 6.333], [-4.881, 5.860, 2.166]], "species": ["Tm", "Tm", "Th", "Th", "Th", "Th", "Er", "Er", "Er"], "frac_coords": [[0.333, 0.998, 0.666], [0.667, 0.002, 0.334], [0.558, 0.334, 0.116], [0.221, 0.335, 0.442], [0.779, 0.665, 0.558], [0.442, 0.666, 0.884], [0.000, 0.000, 0.000], [0.111, 0.666, 0.221], [0.889, 0.334, 0.779]], "total_magnetization_mub_per_cell": 0.00, "ef_ev_per_atom": 0.040, "spacegroup": "C2/m, No. 12", "polymorph_energy_ev_per_fu": 0.000}



No. 2
{"formula": "Dy3TmBi2", "functional": "PBE", "state": "optimized geometry", "lattice": [[4.292, 0.000, 0.000], [-2.146, 10.499, -0.810], [0.000, -5.402, 8.478]], "species": ["Dy", "Dy", "Dy", "Dy", "Dy", "Dy", "Tm", "Tm", "Bi", "Bi", "Bi", "Bi"], "frac_coords": [[0.688, 0.375, 0.484], [0.359, 0.718, 0.197], [0.945, 0.890, 0.559], [0.312, 0.625, 0.516], [0.641, 0.282, 0.803], [0.055, 0.110, 0.441], [0.109, 0.219, 0.117], [0.891, 0.781, 0.883], [0.506, 0.011, 0.170], [0.747, 0.493, 0.213], [0.253, 0.507, 0.787], [0.494, 0.989, 0.830]], "total_magnetization_mub_per_cell": 0.00, "ef_ev_per_atom": -0.452, "spacegroup": "C2/m, No. 12", "polymorph_energy_ev_per_fu": 0.801}



No. 3
{"formula": "Ta2ZnAu", "functional": "PBE", "state": "optimized geometry", "lattice": [[-6.037, 4.113, -0.444], [-4.031, -5.672, 2.266], [-4.686, 0.012, 3.512]], "species": ["Ta", "Ta", "Ta", "Ta", "Au", "Au", "Zn", "Zn"], "frac_coords": [[0.623, 0.125, 0.250], [0.127, 0.625, 0.250], [0.875, 0.873, 0.750], [0.375, 0.377, 0.750], [0.750, 0.250, 0.500], [0.000, 0.000, 0.000], [0.500, 0.500, 0.000], [0.250, 0.750, 0.500]], "total_magnetization_mub_per_cell": 0.00, "ef_ev_per_atom": 0.490, "spacegroup": "I-42d, No. 122"}



No. 4
{"formula": "CdHg2Os", "functional": "PBE", "state": "optimized geometry", "lattice": [[4.783, 0.000, 0.000], [2.392, 4.142, 0.000], [2.392, 1.381, 3.905]], "species": ["Hg", "Hg", "Cd", "Os"], "frac_coords": [[0.000, 0.000, 0.000], [0.750, 0.750, 0.750], [0.500, 0.500, 0.500], [0.250, 0.250, 0.250]], "total_magnetization_mub_per_cell": 0.00, "ef_ev_per_atom": 0.833, "spacegroup": "F-43m, No. 216"}



No. 5
{"formula": "TlCuC", "functional": "PBE", "state": "optimized geometry", "lattice": [[-3.619, 2.190, -4.657], [-3.485, 0.148, 1.457], [0.599, 5.162, -0.729]], "species": ["C", "C", "Cu", "Cu", "Tl", "Tl"], "frac_coords": [[0.026, 0.821, 0.128], [0.026, 0.982, 0.922], [0.026, 0.370, 0.273], [0.025, 0.434, 0.778], [0.389, 0.715, 0.344], [0.663, 0.088, 0.706]], "total_magnetization_mub_per_cell": 0.00, "ef_ev_per_atom": 0.598, "spacegroup": "P-1, No. 2"}



No. 6
{"formula": "SrAu4I2", "functional": "PBE", "state": "optimized geometry", "lattice": [[-1.508, -3.262, -4.727], [5.118, -2.981, 0.424], [-1.417, -8.027, 2.262]], "species": ["Au", "Au", "Au", "Au", "I", "I", "Sr"], "frac_coords": [[0.205, 0.205, 0.589], [0.500, 0.000, 0.000], [0.795, 0.795, 0.411], [0.000, 0.500, 0.000], [0.614, 0.614, 0.772], [0.386, 0.386, 0.228], [0.000, 0.000, 0.000]], "total_magnetization_mub_per_cell": 0.00, "e_form_raw_kj_per_mol_atoms": 39, "spacegroup": "I4/mmm, No. 139"}



No. 7
{"formula": "MnPd5Au6", "functional": "PBE", "state": "optimized geometry", "lattice": [[3.923, 0.014, -1.144], [-1.098, 7.061, -3.678], [0.069, -0.640, 7.530]], "species": ["Pd", "Pd", "Pd", "Pd", "Pd", "Au", "Au", "Au", "Au", "Au", "Au", "Mn"], "frac_coords": [[0.668, 0.668, 0.337], [0.332, 0.332, 0.663], [0.340, 0.840, 0.680], [0.660, 0.160, 0.320], [0.000, 0.500, 0.000], [0.500, 0.253, 0.000], [0.833, 0.583, 0.667], [0.167, 0.916, 0.333], [0.500, 0.747, 0.000], [0.833, 0.084, 0.667], [0.167, 0.417, 0.333], [0.000, 0.000, 0.000]], "total_magnetization_mub_per_cell": 4.73, "ef_ev_per_atom": -0.121, "spacegroup": "Immm, No. 71", "polymorph_energy_ev_per_fu": 0.048}



No. 8
{"formula": "AcTb2Cu6", "functional": "PBE", "state": "optimized geometry", "lattice": [[3.769, 0.000, 0.000], [0.000, 6.426, -3.710], [0.000, 0.000, 7.420]], "species": ["Cu", "Cu", "Cu", "Cu", "Cu", "Cu", "Ac", "Tb", "Tb"], "frac_coords": [[0.500, 0.662, 0.000], [0.500, 0.000, 0.662], [0.500, 0.338, 0.000], [0.500, 0.662, 0.662], [0.500, 0.338, 0.338], [0.500, 0.000, 0.338], [0.000, 0.000, 0.000], [0.000, 0.667, 0.333], [0.000, 0.333, 0.667]], "total_magnetization_mub_per_cell": 0.00, "ef_ev_per_atom": -0.212, "spacegroup": "P6/mmm, No. 191"}



Quick rundown of density, same order as above: 10.391, 9.823, 14.122, 15.104, 8.597, 7.242, 14.744, 8.556 g cm⁻³